No. 1
Below is PmDy6Y3Tm2 after structural relaxation, with properties calculated at the PBE level.

Cell and atoms, written as CIF:
```
data_PmDy6Y3Tm2
_cell_length_a 6.148
_cell_length_b 10.636
_cell_length_c 11.770
_cell_angle_alpha 90.00
_cell_angle_beta 99.96
_cell_angle_gamma 90.00
_space_group_name_H-M_alt 'C 1 2/m 1'
_space_group_IT_number 12
_space_group_name_Hall '-C 2y'
loop_
_atom_site_label
_atom_site_type_symbol
_atom_site_fract_x
_atom_site_fract_y
_atom_site_fract_z
Pm1 Pm 0.000 0.000 0.000
Dy1 Dy 0.249 0.500 0.249
Dy2 Dy 0.250 0.167 0.249
Y1 Y 0.000 0.167 0.500
Y2 Y 0.000 0.500 0.500
Tm1 Tm 0.000 0.333 0.000
```

Properties
* DFT total energy: -0.1851 Ha/atom
* volume: 31.58 Å³ per atom
* energy of formation from the pure elements: 0.020 eV/atom



No. 2
Below is KGdSnHg after structural relaxation, with properties calculated at the PBE level.

Cell and atoms, written as CIF:
```
data_KGdSnHg
_cell_length_a 7.829
_cell_length_b 7.829
_cell_length_c 7.829
_cell_angle_alpha 90.00
_cell_angle_beta 90.00
_cell_angle_gamma 90.00
_space_group_name_H-M_alt 'F -4 3 m'
_space_group_IT_number 216
_space_group_name_Hall 'F -4 2 3'
loop_
_atom_site_label
_atom_site_type_symbol
_atom_site_fract_x
_atom_site_fract_y
_atom_site_fract_z
K1 K 0.000 0.000 0.000
Gd1 Gd 0.000 0.000 0.500
Sn1 Sn 0.250 0.250 0.250
Hg1 Hg 0.250 0.250 0.750
```

Properties
* DFT total energy: -0.1901 Ha/atom
* volume: 29.99 Å³ per atom
* energy of formation from the pure elements: -0.301 eV/atom



No. 3
Below is AcCd2Rh2 after structural relaxation, with properties calculated at the PBE level.

Cell and atoms, written as CIF:
```
data_AcCd2Rh2
_cell_length_a 5.684
_cell_length_b 9.565
_cell_length_c 17.259
_cell_angle_alpha 90.00
_cell_angle_beta 90.00
_cell_angle_gamma 90.00
_space_group_name_H-M_alt 'F d d d'
_space_group_IT_number 70
loop_
_space_group_symop_operation_xyz
'x,y,z'
'-x,-y,-z'
'-x+1/4,-y+1/4,z'
'x+1/4,y+1/4,-z'
'x,-y+1/4,-z+1/4'
'-x,y+1/4,z+1/4'
'-x+1/4,y,-z+1/4'
'x+1/4,-y,z+1/4'
'x,y+1/2,z+1/2'
'-x,-y+1/2,-z+1/2'
'-x+1/4,-y+3/4,z+1/2'
'x+1/4,y+3/4,-z+1/2'
'x,-y+3/4,-z+3/4'
'-x,y+3/4,z+3/4'
'-x+1/4,y+1/2,-z+3/4'
'x+1/4,-y+1/2,z+3/4'
'x+1/2,y,z+1/2'
'-x+1/2,-y,-z+1/2'
'-x+3/4,-y+1/4,z+1/2'
'x+3/4,y+1/4,-z+1/2'
'x+1/2,-y+1/4,-z+3/4'
'-x+1/2,y+1/4,z+3/4'
'-x+3/4,y,-z+3/4'
'x+3/4,-y,z+3/4'
'x+1/2,y+1/2,z'
'-x+1/2,-y+1/2,-z'
'-x+3/4,-y+3/4,z'
'x+3/4,y+3/4,-z'
'x+1/2,-y+3/4,-z+1/4'
'-x+1/2,y+3/4,z+1/4'
'-x+3/4,y+1/2,-z+1/4'
'x+3/4,-y+1/2,z+1/4'
loop_
_atom_site_label
_atom_site_type_symbol
_atom_site_fract_x
_atom_site_fract_y
_atom_site_fract_z
Ac1 Ac 0.125 0.125 0.125
Cd1 Cd 0.125 0.125 0.513
Rh1 Rh 0.125 0.337 0.625
```

Properties
* DFT total energy: -0.1593 Ha/atom
* energy above the lowest structure with this stoichiometry: 189 meV/atom
* volume: 23.46 Å³ per atom
* energy of formation from the pure elements: -0.205 eV/atom



No. 4
Below is Tb5S5N2 after structural relaxation, with properties calculated at the PBE level.

Cell and atoms, written as CIF:
```
data_Tb5S5N2
_cell_length_a 12.620
_cell_length_b 3.793
_cell_length_c 10.701
_cell_angle_alpha 90.00
_cell_angle_beta 107.02
_cell_angle_gamma 90.00
_space_group_name_H-M_alt 'C 1 2/m 1'
_space_group_IT_number 12
_space_group_name_Hall '-C 2y'
loop_
_atom_site_label
_atom_site_type_symbol
_atom_site_fract_x
_atom_site_fract_y
_atom_site_fract_z
Tb1 Tb 0.000 0.000 0.000
Tb2 Tb 0.101 0.000 0.382
Tb3 Tb 0.154 0.500 0.798
S1 S 0.000 0.500 0.500
S2 S 0.163 0.500 0.063
S3 S 0.249 0.500 0.358
N1 N 0.043 0.000 0.796
```

Properties
* energy relative to the elements, uncorrected: -1.800 eV per atom
* DFT total energy: -0.2513 Ha/atom
* volume: 20.41 Å³ per atom



No. 5
Below is Pa2Al2Au3 after structural relaxation, with properties calculated at the PBE level.

Cell and atoms, written as CIF:
```
data_Pa2Al2Au3
_cell_length_a 4.284
_cell_length_b 19.275
_cell_length_c 7.134
_cell_angle_alpha 90.00
_cell_angle_beta 90.00
_cell_angle_gamma 90.00
_space_group_name_H-M_alt 'C m c m'
_space_group_IT_number 63
_space_group_name_Hall '-C 2c 2'
loop_
_atom_site_label
_atom_site_type_symbol
_atom_site_fract_x
_atom_site_fract_y
_atom_site_fract_z
Pa1 Pa 0.000 0.049 0.250
Pa2 Pa 0.000 0.149 0.750
Al1 Al 0.000 0.307 0.557
Au1 Au 0.000 0.224 0.250
Au2 Au 0.000 0.433 0.053
```

Properties
* DFT total energy: -0.2041 Ha/atom
* volume: 21.04 Å³ per atom
* energy of formation from the pure elements: -0.367 eV/atom



No. 6
Below is InCo2Pt after structural relaxation, with properties calculated at the PBE level.

Cell and atoms, written as CIF:
```
data_InCo2Pt
_cell_length_a 5.568
_cell_length_b 7.323
_cell_length_c 2.803
_cell_angle_alpha 90.00
_cell_angle_beta 90.00
_cell_angle_gamma 90.00
_space_group_name_H-M_alt 'C m m m'
_space_group_IT_number 65
_space_group_name_Hall '-C 2 2'
loop_
_atom_site_label
_atom_site_type_symbol
_atom_site_fract_x
_atom_site_fract_y
_atom_site_fract_z
In1 In 0.000 0.000 0.000
Co1 Co 0.250 0.250 0.500
Pt1 Pt 0.000 0.500 0.000
```

Properties
* DFT total energy: -0.2079 Ha/atom
* volume: 14.29 Å³ per atom
* energy of formation from the pure elements: 0.090 eV/atom



No. 7
Below is MnVCuOs after structural relaxation, with properties calculated at the PBE level.

Cell and atoms, written as CIF:
```
data_MnVCuOs
_cell_length_a 5.949
_cell_length_b 5.949
_cell_length_c 5.949
_cell_angle_alpha 90.00
_cell_angle_beta 90.00
_cell_angle_gamma 90.00
_space_group_name_H-M_alt 'F -4 3 m'
_space_group_IT_number 216
_space_group_name_Hall 'F -4 2 3'
loop_
_atom_site_label
_atom_site_type_symbol
_atom_site_fract_x
_atom_site_fract_y
_atom_site_fract_z
Mn1 Mn 0.000 0.000 0.000
V1 V 0.250 0.250 0.250
Cu1 Cu 0.250 0.250 0.750
Os1 Os 0.000 0.000 0.500
```

Properties
* DFT total energy: -0.3072 Ha/atom
* volume: 13.16 Å³ per atom
* energy of formation from the pure elements: 0.044 eV/atom



No. 8
Below is LiTm2ThTl4 after structural relaxation, with properties calculated at the PBE level.

Cell and atoms, written as CIF:
```
data_LiTm2ThTl4
_cell_length_a 5.2393
_cell_length_b 5.2393
_cell_length_c 26.8101
_cell_angle_alpha 90.00
_cell_angle_beta 90.00
_cell_angle_gamma 120.00
_space_group_name_H-M_alt 'R -3 m'
_space_group_IT_number 166
_space_group_name_Hall '-R 3 2"'
loop_
_atom_site_label
_atom_site_type_symbol
_atom_site_fract_x
_atom_site_fract_y
_atom_site_fract_z
Li1 Li 0.0000 0.0000 0.0000
Tm1 Tm 0.0000 0.0000 0.2534
Th1 Th 0.0000 0.0000 0.5000
Tl1 Tl 0.0000 0.0000 0.1193
Tl2 Tl 0.0000 0.0000 0.3704
```

Properties
* DFT total energy: -0.1361 Ha/atom
* volume: 26.56 Å³ per atom
* energy of formation from the pure elements: -0.236 eV/atom



What did the fifth record say?
Below is Pa2Al2Au3 after structural relaxation, with properties calculated at the PBE level.

Cell and atoms, written as CIF:
```
data_Pa2Al2Au3
_cell_length_a 4.284
_cell_length_b 19.275
_cell_length_c 7.134
_cell_angle_alpha 90.00
_cell_angle_beta 90.00
_cell_angle_gamma 90.00
_space_group_name_H-M_alt 'C m c m'
_space_group_IT_number 63
_space_group_name_Hall '-C 2c 2'
loop_
_atom_site_label
_atom_site_type_symbol
_atom_site_fract_x
_atom_site_fract_y
_atom_site_fract_z
Pa1 Pa 0.000 0.049 0.250
Pa2 Pa 0.000 0.149 0.750
Al1 Al 0.000 0.307 0.557
Au1 Au 0.000 0.224 0.250
Au2 Au 0.000 0.433 0.053
```

Properties
* DFT total energy: -0.2041 Ha/atom
* volume: 21.04 Å³ per atom
* energy of formation from the pure elements: -0.367 eV/atom



Q: What is the volume in the first record?
A: 31.58 Å³ per atom